(1)
Computed, not measured: a geometry-optimized AgPt2Rh structure at the GGA-PBE level of DFT.

The structure in extended XYZ format:
```
4
Lattice="1.3890 0.8019 9.4009 -1.3890 0.8019 9.4009 0.0000 -1.6038 9.4009" Properties=species:S:1:pos:R:3 pbc="T T T"
Ag 0.0000 0.0000 0.0000
Pt 0.0000 0.0000 6.9690
Pt 0.0000 0.0000 21.2338
Rh 0.0000 0.0000 14.1014
```

## Properties
Energy above the most stable polymorph in this dataset = 0 meV per atom
Theoretical density = 15.9 g/cm³
Density of states at the Fermi level = 0.942 states/eV/atom
Symmetry = R-3m
DFT total energy = -5.5811 eV/atom
ΔH_f (0 K) = -0.01 eV/atom

***

(2)
Computed, not measured: a geometry-optimized AgPtRh2 structure at the GGA-PBE level of DFT.

The structure in extended XYZ format:
```
4
Lattice="2.7799 -3.9847 0.0000 2.7799 3.9847 0.0000 0.0000 0.0000 2.7646" Properties=species:S:1:pos:R:3 pbc="T T T"
Ag 0.0000 0.0000 0.0000
Pt 2.7799 0.0000 0.0000
Rh 1.3899 1.9924 1.3823
Rh 1.3899 -1.9924 1.3823
```

## Properties
Energy above the most stable polymorph in this dataset = 98 meV per atom
Theoretical density = 13.8 g/cm³
Density of states at the Fermi level = 1.759 states/eV/atom
Symmetry = Cmmm
DFT total energy = -5.7355 eV/atom
ΔH_f (0 K) = 0.16 eV/atom

***

(3)
Computed, not measured: a geometry-optimized Ag4PtRh structure at the GGA-PBE level of DFT.

The structure in extended XYZ format:
```
6
Lattice="0.0000 3.7456 3.7456 3.7456 0.0000 3.7456 3.7456 3.7456 0.0000" Properties=species:S:1:pos:R:3 pbc="T T T"
Ag 0.9362 0.9362 0.9362
Ag 2.8094 2.8094 0.9362
Ag 2.8094 0.9362 2.8094
Ag 0.9362 2.8094 2.8094
Pt 3.7456 3.7456 3.7456
Rh 5.6184 5.6184 5.6184
```

## Properties
Theoretical density = 11.5 g/cm³
Density of states at the Fermi level = 1.341 states/eV/atom
Symmetry = F-43m
DFT total energy = -3.6843 eV/atom
ΔH_f (0 K) = 0.45 eV/atom

***

(4)
Computed, not measured: a geometry-optimized AgPtRh2 structure at the GGA-PBE level of DFT.

The structure in extended XYZ format:
```
4
Lattice="0.0000 3.1459 3.1459 3.1459 0.0000 3.1459 3.1459 3.1459 0.0000" Properties=species:S:1:pos:R:3 pbc="T T T"
Ag 0.0000 0.0000 0.0000
Pt 1.5729 1.5729 1.5729
Rh 3.1459 3.1459 3.1459
Rh 4.7188 4.7188 4.7188
```

## Properties
Energy above the most stable polymorph in this dataset = 255 meV per atom
Theoretical density = 13.6 g/cm³
Density of states at the Fermi level = 1.721 states/eV/atom
Symmetry = F-43m
DFT total energy = -5.5788 eV/atom
ΔH_f (0 K) = 0.32 eV/atom

***

(5)
Computed, not measured: a geometry-optimized AgPt2Rh structure at the GGA-PBE level of DFT.

The structure in extended XYZ format:
```
4
Lattice="2.7877 0.0000 0.0000 0.0000 2.7877 0.0000 0.0000 0.0000 8.1405" Properties=species:S:1:pos:R:3 pbc="T T T"
Ag 0.0000 0.0000 0.0000
Pt 0.0000 0.0000 4.1478
Pt 1.3939 1.3939 2.1396
Rh 1.3939 1.3939 6.0259
```

## Properties
Energy above the most stable polymorph in this dataset = 86 meV per atom
Theoretical density = 15.8 g/cm³
Density of states at the Fermi level = 1.419 states/eV/atom
Symmetry = P4mm
DFT total energy = -5.4954 eV/atom
ΔH_f (0 K) = 0.08 eV/atom

***

(6)
Computed, not measured: a geometry-optimized AgPt2Rh structure at the GGA-PBE level of DFT.

The structure in extended XYZ format:
```
4
Lattice="2.7854 0.0000 0.0000 0.0000 2.7854 0.0000 0.0000 0.0000 8.1406" Properties=species:S:1:pos:R:3 pbc="T T T"
Ag 0.0000 0.0000 0.0000
Pt 1.3927 1.3927 2.1653
Pt 1.3927 1.3927 5.9753
Rh 0.0000 0.0000 4.0703
```

## Properties
Energy above the most stable polymorph in this dataset = 30 meV per atom
Theoretical density = 15.8 g/cm³
Density of states at the Fermi level = 1.517 states/eV/atom
Symmetry = P4/mmm
DFT total energy = -5.5509 eV/atom
ΔH_f (0 K) = 0.02 eV/atom

***

(7)
Computed, not measured: a geometry-optimized AgPtRh structure at the GGA-PBE level of DFT.

The structure in extended XYZ format:
```
6
Lattice="2.1639 1.2493 6.6601 -2.1639 1.2493 6.6601 0.0000 -2.4987 6.6601" Properties=species:S:1:pos:R:3 pbc="T T T"
Ag 0.0000 0.0000 4.0665
Ag 0.0000 0.0000 15.9138
Pt 0.0000 0.0000 1.3061
Pt 0.0000 0.0000 18.6743
Rh 0.0000 0.0000 6.8960
Rh 0.0000 0.0000 13.0844
```

## Properties
Energy above the most stable polymorph in this dataset = 336 meV per atom
Theoretical density = 12.5 g/cm³
Density of states at the Fermi level = 1.415 states/eV/atom
Symmetry = R-3m
DFT total energy = -5.0827 eV/atom
ΔH_f (0 K) = 0.33 eV/atom

***

(8)
Computed, not measured: a geometry-optimized Ag2PtRh structure at the GGA-PBE level of DFT.

The structure in extended XYZ format:
```
4
Lattice="4.8258 -1.3921 0.0000 4.8258 1.3921 0.0000 -0.7798 0.0000 4.8042" Properties=species:S:1:pos:R:3 pbc="T T T"
Ag 2.2126 0.0000 1.1935
Ag 6.6593 0.0000 3.6106
Pt -0.3899 0.0000 2.4021
Rh 4.8258 0.0000 0.0000
```

## Properties
Energy above the most stable polymorph in this dataset = 13 meV per atom
Theoretical density = 13.2 g/cm³
Density of states at the Fermi level = 1.040 states/eV/atom
Symmetry = C2/m
DFT total energy = -4.6783 eV/atom
ΔH_f (0 K) = 0.10 eV/atom

***

(9)
Computed, not measured: a geometry-optimized AgPt2Rh structure at the GGA-PBE level of DFT.

The structure in extended XYZ format:
```
4
Lattice="3.9593 0.0000 0.0000 0.0000 3.9593 0.0000 0.0000 0.0000 4.0001" Properties=species:S:1:pos:R:3 pbc="T T T"
Ag 0.0000 0.0000 0.0000
Pt 0.0000 1.9797 2.0001
Pt 1.9797 0.0000 2.0001
Rh 1.9797 1.9797 0.0000
```

## Properties
Energy above the most stable polymorph in this dataset = 102 meV per atom
Theoretical density = 15.9 g/cm³
Density of states at the Fermi level = 0.819 states/eV/atom
Symmetry = P4/mmm
DFT total energy = -5.4791 eV/atom
ΔH_f (0 K) = 0.09 eV/atom

***

(10)
Computed, not measured: a geometry-optimized Ag2PtRh structure at the GGA-PBE level of DFT.

The structure in extended XYZ format:
```
4
Lattice="-1.4170 2.4262 4.8272 1.4170 -2.4262 4.8272 1.4170 2.4262 -4.8272" Properties=species:S:1:pos:R:3 pbc="T T T"
Ag 0.0000 0.0000 0.0000
Ag 0.0000 2.4262 2.2892
Pt 0.0000 0.0000 4.6562
Rh 1.4170 0.0000 2.4581
```

## Properties
Energy above the most stable polymorph in this dataset = 129 meV per atom
Theoretical density = 12.9 g/cm³
Density of states at the Fermi level = 1.293 states/eV/atom
Symmetry = Imm2
DFT total energy = -4.5627 eV/atom
ΔH_f (0 K) = 0.21 eV/atom

***

(11)
Computed, not measured: a geometry-optimized AgPtRh2 structure at the GGA-PBE level of DFT.

The structure in extended XYZ format:
```
4
Lattice="1.3863 0.8004 9.2290 -1.3863 0.8004 9.2290 0.0000 -1.6007 9.2290" Properties=species:S:1:pos:R:3 pbc="T T T"
Ag 0.0000 0.0000 0.0000
Pt 0.0000 0.0000 20.8962
Rh 0.0000 0.0000 6.8320
Rh 0.0000 0.0000 13.9498
```

## Properties
Energy above the most stable polymorph in this dataset = 0 meV per atom
Theoretical density = 13.8 g/cm³
Density of states at the Fermi level = 1.298 states/eV/atom
Symmetry = R3m
DFT total energy = -5.8336 eV/atom
ΔH_f (0 K) = 0.07 eV/atom

***

(12)
Computed, not measured: a geometry-optimized AgPt4Rh structure at the GGA-PBE level of DFT.

The structure in extended XYZ format:
```
12
Lattice="5.0257 0.0000 0.0000 -2.4818 6.5073 0.0000 -1.2700 -3.2432 6.0451" Properties=species:S:1:pos:R:3 pbc="T T T"
Ag -0.6174 1.6336 2.0443
Ag 1.8914 1.6306 4.0008
Pt -0.6636 -2.2834 5.3438
Pt -0.6350 4.2234 0.6944
Pt -0.5407 0.2775 4.5743
Pt -0.7029 2.9856 4.5774
Pt 1.9769 0.2785 1.4677
Pt 1.8147 2.9866 1.4708
Pt 1.9090 -0.9593 5.3507
Pt 1.9375 5.5475 0.7012
Rh 0.6222 -1.6160 3.0125
Rh 0.6517 4.8801 3.0325
```

## Properties
Energy above the most stable polymorph in this dataset = 0 meV per atom
Theoretical density = 16.6 g/cm³
Density of states at the Fermi level = 1.579 states/eV/atom
Symmetry = P-1
DFT total energy = -5.5562 eV/atom
ΔH_f (0 K) = 0.17 eV/atom

***

(13)
Computed, not measured: a geometry-optimized AgPt2Rh structure at the GGA-PBE level of DFT.

The structure in extended XYZ format:
```
4
Lattice="4.6653 -1.3900 0.0000 4.6653 1.3900 0.0000 -0.8151 0.0000 4.8513" Properties=species:S:1:pos:R:3 pbc="T T T"
Ag 0.0000 0.0000 0.0000
Pt 1.6778 0.0000 3.6344
Pt 4.2428 0.0000 2.4008
Rh 6.8233 0.0000 1.2993
```

## Properties
Energy above the most stable polymorph in this dataset = 86 meV per atom
Theoretical density = 15.9 g/cm³
Density of states at the Fermi level = 1.601 states/eV/atom
Symmetry = Cm
DFT total energy = -5.4948 eV/atom
ΔH_f (0 K) = 0.08 eV/atom

***

(14)
Computed, not measured: a geometry-optimized AgPtRh2 structure at the GGA-PBE level of DFT.

The structure in extended XYZ format:
```
4
Lattice="2.7426 0.0000 0.0000 0.0000 4.7163 0.0000 -0.1308 0.0000 4.8207" Properties=species:S:1:pos:R:3 pbc="T T T"
Ag 0.0000 0.0000 0.0000
Pt 1.3059 0.0000 2.4104
Rh 0.6198 2.3581 3.5729
Rh 1.9920 2.3581 1.2479
```

## Properties
Energy above the most stable polymorph in this dataset = 174 meV per atom
Theoretical density = 13.5 g/cm³
Density of states at the Fermi level = 1.292 states/eV/atom
Symmetry = P2/m
DFT total energy = -5.6598 eV/atom
ΔH_f (0 K) = 0.24 eV/atom

***

(15)
Computed, not measured: a geometry-optimized Ag2PtRh structure at the GGA-PBE level of DFT.

The structure in extended XYZ format:
```
4
Lattice="-2.0375 2.0375 3.9177 2.0375 -2.0375 3.9177 2.0375 2.0375 -3.9177" Properties=species:S:1:pos:R:3 pbc="T T T"
Ag 0.0000 0.0000 0.0000
Ag 0.0000 2.0375 1.9588
Pt 2.0375 0.0000 1.9588
Rh 0.0000 0.0000 3.9177
```

## Properties
Energy above the most stable polymorph in this dataset = 111 meV per atom
Theoretical density = 13.1 g/cm³
Density of states at the Fermi level = 1.110 states/eV/atom
Symmetry = I-4m2
DFT total energy = -4.5806 eV/atom
ΔH_f (0 K) = 0.19 eV/atom

***

(16)
Computed, not measured: a geometry-optimized AgSbPtRh structure at the GGA-PBE level of DFT.

The structure in extended XYZ format:
```
4
Lattice="0.0000 3.2465 3.2465 3.2465 0.0000 3.2465 3.2465 3.2465 0.0000" Properties=species:S:1:pos:R:3 pbc="T T T"
Ag 0.0000 0.0000 0.0000
Sb 3.2465 3.2465 3.2465
Pt 1.6232 1.6232 1.6232
Rh 4.8697 4.8697 4.8697
```

## Properties
Theoretical density = 12.8 g/cm³
Density of states at the Fermi level = 1.166 states/eV/atom
Symmetry = F-43m
Uncorrected formation energy = -0.1027 eV per atom
DFT total energy = -5.1942 eV/atom

***

(17)
Computed, not measured: a geometry-optimized Sc4AgPt2Rh structure at the GGA-PBE level of DFT.

The structure in extended XYZ format:
```
8
Lattice="2.3383 1.3500 7.6656 -2.3383 1.3500 7.6656 0.0000 -2.7000 7.6656" Properties=species:S:1:pos:R:3 pbc="T T T"
Sc 0.0000 0.0000 2.7847
Sc 0.0000 0.0000 8.5543
Sc 0.0000 0.0000 14.4425
Sc 0.0000 0.0000 20.2120
Ag 0.0000 0.0000 11.4984
Pt 0.0000 0.0000 5.7504
Pt 0.0000 0.0000 17.2463
Rh 0.0000 0.0000 0.0000
```

## Properties
Theoretical density = 8.9 g/cm³
Density of states at the Fermi level = 0.562 states/eV/atom
Symmetry = R-3m
DFT total energy = -6.9139 eV/atom
ΔH_f (0 K) = -0.96 eV/atom

***

(18)
Computed, not measured: a geometry-optimized Ag2PtRhSe structure at the GGA-PBE level of DFT.

The structure in extended XYZ format:
```
5
Lattice="5.0586 0.0000 0.0000 0.0000 5.0586 0.0000 0.0000 0.0000 4.6884" Properties=species:S:1:pos:R:3 pbc="T T T"
Ag 0.0000 2.5293 0.0000
Ag 2.5293 0.0000 0.0000
Pt 0.0000 0.0000 2.3442
Rh 0.0000 0.0000 0.0000
Se 2.5293 2.5293 2.3442
```

## Properties
Theoretical density = 8.2 g/cm³
Density of states at the Fermi level = 1.204 states/eV/atom
Symmetry = P4/mmm
Uncorrected formation energy = 1.0997 eV per atom
DFT total energy = -3.4161 eV/atom

***

(19)
Computed, not measured: a geometry-optimized TbAgPtRh structure at the GGA-PBE level of DFT.

The structure in extended XYZ format:
```
4
Lattice="0.0000 3.3268 3.3268 3.3268 0.0000 3.3268 3.3268 3.3268 0.0000" Properties=species:S:1:pos:R:3 pbc="T T T"
Tb 0.0000 0.0000 0.0000
Ag 3.3268 3.3268 3.3268
Pt 4.9902 4.9902 4.9902
Rh 1.6634 1.6634 1.6634
```

## Properties
Theoretical density = 12.7 g/cm³
Density of states at the Fermi level = 0.439 states/eV/atom
Symmetry = F-43m
DFT total energy = -5.7453 eV/atom
ΔH_f (0 K) = -0.53 eV/atom

***

(20)
Computed, not measured: a geometry-optimized ThAgPtRh structure at the GGA-PBE level of DFT.

The structure in extended XYZ format:
```
4
Lattice="0.0000 3.4126 3.4126 3.4126 0.0000 3.4126 3.4126 3.4126 0.0000" Properties=species:S:1:pos:R:3 pbc="T T T"
Th 0.0000 0.0000 0.0000
Ag 3.4126 3.4126 3.4126
Pt 5.1189 5.1189 5.1189
Rh 1.7063 1.7063 1.7063
```

## Properties
Theoretical density = 13.3 g/cm³
Density of states at the Fermi level = 0.848 states/eV/atom
Symmetry = F-43m
DFT total energy = -6.5131 eV/atom
ΔH_f (0 K) = -0.60 eV/atom